A geometry-optimized TiCd2NiO structure. Source: Alexandria via LeMat-Bulk, functional GGA+U.

Calculated values
energy: -0.2571 Ry per atom
magnetic moment: 0.0 μB/f.u.

Lattice parameters (Å, degrees): 4.7629 3.7537 4.7629 90.00 90.00 90.00
Sites, in units of the cell vectors:
1 Ni 0.5000 0.5000 0.5000
2 Ti 0.0000 0.5000 0.0000
3 O 0.0000 0.0000 0.0000
4 Cd 0.0000 0.0000 0.5000
5 Cd 0.5000 0.0000 0.0000